(1)
Computed, not measured: a relaxed structure of LiLa5Bi3 at the PBE level of DFT.

Cell and atoms, written as POSCAR:
```
LiLa5Bi3
1.0
9.9317 0.0000 0.0000
-4.9659 8.6011 0.0000
0.0000 0.0000 6.7719
Li La Bi
2 10 6
Direct
0.0000 0.0000 0.0000
0.0000 0.0000 0.5000
0.0000 0.2874 0.2500
0.0000 0.7126 0.7500
0.2874 0.0000 0.2500
0.2874 0.2874 0.7500
0.3333 0.6667 0.0000
0.3333 0.6667 0.5000
0.6667 0.3333 0.0000
0.6667 0.3333 0.5000
0.7126 0.0000 0.7500
0.7126 0.7126 0.2500
0.0000 0.3687 0.7500
0.0000 0.6313 0.2500
0.3687 0.0000 0.7500
0.3687 0.3687 0.2500
0.6313 0.0000 0.2500
0.6313 0.6313 0.7500
```

Properties
density of states at the Fermi level: 1.23 states/eV per atom
density: 7.6 g/cm³
ΔH_f (0 K): -0.697 eV per atom

---

(2)
Computed, not measured: a relaxed structure of LiLa2Bi at the PBE level of DFT.

Cell and atoms, written as POSCAR:
```
LiLa2Bi
1.0
8.8354 0.0000 0.0000
0.0000 8.8354 0.0000
0.0000 0.0000 6.3744
Li La Bi
4 8 4
Direct
0.0000 0.0000 0.0000
0.0000 0.5000 0.2500
0.5000 0.0000 0.7500
0.5000 0.5000 0.5000
0.2412 0.2500 0.1250
0.2500 0.7412 0.3750
0.2500 0.7588 0.8750
0.2588 0.2500 0.6250
0.7412 0.7500 0.6250
0.7500 0.2412 0.8750
0.7500 0.2588 0.3750
0.7588 0.7500 0.1250
0.0000 0.0000 0.5000
0.0000 0.5000 0.7500
0.5000 0.0000 0.2500
0.5000 0.5000 0.0000
```

Properties
density of states at the Fermi level: 1.33 states/eV per atom
density: 6.6 g/cm³
ΔH_f (0 K): -0.233 eV per atom

---

(3)
Computed, not measured: a relaxed structure of LiLaBi at the PBE level of DFT.

Cell and atoms, written as POSCAR:
```
LiLaBi
1.0
11.5832 0.0000 0.0000
0.0000 4.7898 0.0000
0.0000 0.0000 7.1149
Li La Bi
4 4 4
Direct
0.1646 0.2500 0.2369
0.3354 0.7500 0.7369
0.6646 0.2500 0.2631
0.8354 0.7500 0.7631
0.0793 0.2500 0.7423
0.4207 0.7500 0.2423
0.5793 0.2500 0.7577
0.9207 0.7500 0.2577
0.1668 0.7500 0.0207
0.3332 0.2500 0.5207
0.6668 0.7500 0.4793
0.8332 0.2500 0.9793
```

Properties
density of states at the Fermi level: 0.24 states/eV per atom
density: 6.0 g/cm³
energy relative to the lowest polymorph listed for this composition: 0.239 eV per atom
ΔH_f (0 K): -0.522 eV per atom

---

(4)
Computed, not measured: a relaxed structure of LiLa2Bi2 at the PBE level of DFT.

Cell and atoms, written as POSCAR:
```
LiLa2Bi2
1.0
8.9676 0.0000 0.0000
0.0000 8.9676 0.0000
0.0000 0.0000 4.1849
Li La Bi
2 4 4
Direct
0.0000 0.0000 0.0000
0.5000 0.5000 0.0000
0.1388 0.3612 0.0000
0.3612 0.8612 0.0000
0.6388 0.1388 0.0000
0.8612 0.6388 0.0000
0.1652 0.6652 0.5000
0.3348 0.1652 0.5000
0.6652 0.8348 0.5000
0.8348 0.3348 0.5000
```

Properties
density of states at the Fermi level: 0.96 states/eV per atom
density: 6.9 g/cm³
energy relative to the lowest polymorph listed for this composition: 0.264 eV per atom
ΔH_f (0 K): -0.579 eV per atom

---

(5)
Computed, not measured: a relaxed structure of LiLaBi2 at the PBE level of DFT.

Cell and atoms, written as POSCAR:
```
LiLaBi2
1.0
4.6089 0.0000 0.0000
0.0000 4.6089 0.0000
0.0000 0.0000 10.7636
Li La Bi
2 2 4
Direct
0.2500 0.7500 0.0000
0.7500 0.2500 0.0000
0.2500 0.2500 0.2552
0.7500 0.7500 0.7448
0.2500 0.2500 0.8394
0.2500 0.7500 0.5000
0.7500 0.2500 0.5000
0.7500 0.7500 0.1606
```

Properties
density of states at the Fermi level: 0.33 states/eV per atom
density: 8.2 g/cm³
energy relative to the lowest polymorph listed for this composition: 0.000 eV per atom
ΔH_f (0 K): -0.753 eV per atom

---

(6)
Computed, not measured: a relaxed structure of Li3LaBi3 at the PBE level of DFT.

Cell and atoms, written as POSCAR:
```
Li3LaBi3
1.0
7.3192 0.0000 0.0000
0.0000 7.3192 0.0000
0.0000 0.0000 7.3192
Li La Bi
6 2 6
Direct
0.0000 0.2500 0.5000
0.0000 0.7500 0.5000
0.2500 0.5000 0.0000
0.5000 0.0000 0.2500
0.5000 0.0000 0.7500
0.7500 0.5000 0.0000
0.0000 0.0000 0.0000
0.5000 0.5000 0.5000
0.0000 0.5000 0.2500
0.0000 0.5000 0.7500
0.2500 0.0000 0.5000
0.5000 0.2500 0.0000
0.5000 0.7500 0.0000
0.7500 0.0000 0.5000
```

Properties
density of states at the Fermi level: 0.66 states/eV per atom
density: 6.7 g/cm³
energy relative to the lowest polymorph listed for this composition: 0.273 eV per atom
ΔH_f (0 K): -0.138 eV per atom

---

Number 1: size of the total moment 0.06 μB/atom. Number 2: size of the total moment 0.00 μB/atom. Number 3: size of the total moment 0.31 μB/atom. Number 4: size of the total moment 0.00 μB/atom. Number 5: size of the total moment 0.00 μB/atom. Number 6: size of the total moment 0.00 μB/atom.